Here is a geometry-optimized TcTePt2 structure from Alexandria. Energies are from GGA-PBE.

Calculated values
**Crystal system**: orthorhombic

Cell lengths 5.5761, 5.5761, 5.5761 Å; angles 148.52, 130.46, 59.89 degrees
Last column: nearest neighbours and their distance in Å.
Fractional positions:
Pt (0.9973, 0.9973, 0.0000)  6 Pt 2.78-3.03, 2 Te 2.83, 2 Tc 2.87
Pt (0.5027, 0.5027, 0.0000)  6 Pt 2.78-3.03, 2 Te 2.83, 2 Tc 2.87
Tc (0.2500, 0.7500, 0.5000)  4 Te 2.78, 4 Pt 2.87, 2 Tc 3.03
Te (0.7500, 0.2500, 0.5000)  4 Tc 2.78, 4 Pt 2.83, 2 Te 3.03

Here is a geometry-optimized TcTePt3 structure from Alexandria. Energies are from GGA-PBE.

Calculated values
**Excess energy over the best structure of this formula in the dataset**: 0 meV per atom
**Crystal system**: cubic

Cell lengths 4.8256, 4.8256, 4.8256 Å; angles 90.00, 90.00, 90.00 degrees
Last column: nearest neighbours and their distance in Å.
Fractional positions:
Te (0.5000, 0.5000, 0.5000)  12 Pt 3.41
Tc (0.0000, 0.0000, 0.0000)  6 Pt 2.41
Pt (0.0000, 0.5000, 0.0000)  2 Tc 2.41
Pt (0.0000, 0.0000, 0.5000)  2 Tc 2.41
Pt (0.5000, 0.0000, 0.0000)  2 Tc 2.41

Here is a geometry-optimized TcTePt2 structure from Alexandria. Energies are from GGA-PBE.

Calculated values
**Crystal system**: tetragonal

Cell lengths 2.8926, 2.8926, 8.5356 Å; angles 90.00, 90.00, 90.00 degrees
Last column: nearest neighbours and their distance in Å.
Fractional positions:
Pt (0.0000, 0.0000, 0.0366)  4 Tc 2.74, 4 Pt 2.89
Pt (0.0000, 0.0000, 0.4634)  4 Tc 2.74, 4 Pt 2.89
Tc (0.5000, 0.5000, 0.2500)  8 Pt 2.74, 4 Tc 2.89
Te (0.5000, 0.5000, 0.7500)  4 Te 2.89, 8 Pt 3.19

Here is a geometry-optimized TcTePt2 structure from Alexandria. Energies are from GGA-PBE.

Calculated values
**Crystal system**: tetragonal

Cell lengths 6.4398, 6.4398, 6.4465 Å; angles 60.03, 60.03, 90.00 degrees
Last column: nearest neighbours and their distance in Å.
Fractional positions:
Te (0.0000, 0.0000, 0.0000)  4 Pt 2.67
Te (0.7500, 0.2500, 0.5000)  4 Pt 2.67
Tc (0.5000, 0.5000, 0.0000)  4 Pt 2.43
Tc (0.2500, 0.7500, 0.5000)  4 Pt 2.43
Pt (0.5963, 0.1250, 0.2500)  2 Tc 2.43, 2 Te 2.67
Pt (0.1537, 0.6250, 0.2500)  2 Tc 2.43, 2 Te 2.67
Pt (0.3750, 0.4037, 0.7500)  2 Tc 2.43, 2 Te 2.67
Pt (0.8750, 0.8463, 0.7500)  2 Tc 2.43, 2 Te 2.67

Here is a geometry-optimized TcTePt2 structure from Alexandria. Energies are from GGA-PBE.

Calculated values
**Crystal system**: orthorhombic

Cell lengths 2.8818, 3.8272, 6.4199 Å; angles 90.00, 90.00, 90.00 degrees
Last column: nearest neighbours and their distance in Å.
Fractional positions:
Pt (0.0000, 0.0000, 0.0334)  4 Tc 2.77, 3 Pt 2.78-2.88, 4 Te 3.01
Pt (0.0000, 0.0000, 0.4666)  4 Tc 2.77, 3 Pt 2.78-2.88, 4 Te 3.01
Tc (0.5000, 0.5000, 0.2500)  8 Pt 2.77, 2 Tc 2.88
Te (0.5000, 0.5000, 0.7500)  2 Te 2.88, 8 Pt 3.01, 2 Tc 3.21

Here is a geometry-optimized TcTePt2 structure from Alexandria. Energies are from GGA-PBE.

Calculated values
**Crystal system**: tetragonal

Cell lengths 4.6362, 4.6362, 3.2930 Å; angles 90.00, 90.00, 90.00 degrees
Last column: nearest neighbours and their distance in Å.
Fractional positions:
Pt (0.0000, 0.0000, 0.0000)  4 Tc 2.84, 4 Te 2.84
Pt (0.5000, 0.5000, 0.0000)  4 Tc 2.84, 4 Te 2.84
Tc (0.5000, 0.0000, 0.5000)  8 Pt 2.84
Te (0.0000, 0.5000, 0.5000)  8 Pt 2.84

Here is a geometry-optimized TcTePt2 structure from Alexandria. Energies are from GGA-PBE.

Calculated values
**Crystal system**: monoclinic

Cell lengths 4.7026, 4.7026, 4.9765 Å; angles 78.51, 78.51, 40.38 degrees
Last column: nearest neighbours and their distance in Å.
Fractional positions:
Pt (0.0049, 0.0049, 0.9775)  3 Pt 2.71-2.78, 3 Te 2.75-2.94, 2 Tc 2.81
Pt (0.7541, 0.7541, 0.7439)  3 Pt 2.71-2.78, 3 Tc 2.71-2.75, 4 Te 2.93-3.02
Tc (0.4998, 0.4998, 0.5190)  5 Pt 2.71-2.81, 3 Te 2.77-2.85
Te (0.2411, 0.2411, 0.2597)  7 Pt 2.75-3.02, 3 Tc 2.77-2.85

Here is a geometry-optimized TcTePt2 structure from Alexandria. Energies are from GGA-PBE.

Calculated values
**Crystal system**: trigonal

Cell lengths 9.6346, 9.6346, 9.6346 Å; angles 17.57, 17.57, 17.57 degrees
Last column: nearest neighbours and their distance in Å.
Fractional positions:
Pt (0.9913, 0.9913, 0.9913)  3 Tc 2.72, 6 Pt 2.94
Pt (0.5087, 0.5087, 0.5087)  3 Tc 2.72, 6 Pt 2.94
Tc (0.2500, 0.2500, 0.2500)  6 Pt 2.72, 6 Tc 2.94
Te (0.7500, 0.7500, 0.7500)  6 Te 2.94, 6 Pt 3.12

Here is a geometry-optimized TcTePt3 structure from Alexandria. Energies are from GGA-PBE.

Calculated values
**Excess energy over the best structure of this formula in the dataset**: 116 meV per atom
**Crystal system**: cubic

Cell lengths 4.9267, 4.9267, 4.9267 Å; angles 90.00, 90.00, 90.00 degrees
Last column: nearest neighbours and their distance in Å.
Fractional positions:
Te (0.0000, 0.0000, 0.0000)  6 Pt 2.46
Tc (0.5000, 0.5000, 0.5000)  12 Pt 3.48
Pt (0.0000, 0.5000, 0.0000)  2 Te 2.46
Pt (0.0000, 0.0000, 0.5000)  2 Te 2.46
Pt (0.5000, 0.0000, 0.0000)  2 Te 2.46

Here is a geometry-optimized TcTePt2 structure from Alexandria. Energies are from GGA-PBE.

Calculated values
**Crystal system**: orthorhombic

Cell lengths 4.9104, 4.9104, 3.0996 Å; angles 90.00, 90.00, 113.11 degrees
Last column: nearest neighbours and their distance in Å.
Fractional positions:
Pt (0.0000, 0.0000, 0.0000)  2 Pt 2.71, 4 Tc 2.90, 4 Te 2.90
Pt (0.5000, 0.5000, 0.0000)  2 Pt 2.71, 4 Te 2.90, 4 Tc 2.90
Tc (0.5000, 0.0000, 0.5000)  2 Te 2.71, 8 Pt 2.90
Te (0.0000, 0.5000, 0.5000)  2 Tc 2.71, 8 Pt 2.90

Here is a geometry-optimized TcTePt2 structure from Alexandria. Energies are from GGA-PBE.

Calculated values
**Crystal system**: tetragonal

Cell lengths 3.9409, 3.9471, 4.3285 Å; angles 90.00, 90.00, 90.00 degrees
Last column: nearest neighbours and their distance in Å.
Fractional positions:
Pt (0.0000, 0.0000, 0.0000)  4 Pt 2.79, 4 Tc 2.93, 4 Te 2.93
Pt (0.5000, 0.5000, 0.0000)  4 Pt 2.79, 4 Te 2.93, 4 Tc 2.93
Tc (0.5000, 0.0000, 0.5000)  4 Te 2.79, 8 Pt 2.93
Te (0.0000, 0.5000, 0.5000)  4 Tc 2.79, 8 Pt 2.93

Here is a geometry-optimized TcTePt2 structure from Alexandria. Energies are from GGA-PBE.

Calculated values
**Crystal system**: tetragonal

Cell lengths 3.4000, 3.4000, 5.9627 Å; angles 90.00, 90.00, 90.00 degrees
Last column: nearest neighbours and their distance in Å.
Fractional positions:
Pt (0.0000, 0.0000, 0.0236)  1 Tc 2.74, 4 Pt 2.77, 4 Te 2.94
Pt (0.5000, 0.5000, 0.2529)  4 Pt 2.77, 4 Tc 2.77, 2 Te 2.91-3.06
Tc (0.0000, 0.0000, 0.4834)  5 Pt 2.74-2.77, 4 Te 2.85
Te (0.5000, 0.5000, 0.7401)  4 Tc 2.85, 6 Pt 2.91-3.06

Values of V, in order: 68.3; 112.4; 71.4; 189.2; 70.8; 70.8; 69.7; 71.2; 119.6; 68.7; 67.3; 68.9, all in Å³/cell.
Values of E_form (uncorrected), in order: 0.28; 1.11; 0.14; 0.53; 0.22; 0.42; 0.20; 0.28; 1.22; 0.24; 0.21; 0.19, all in eV per atom.